(1)
A relaxed structure of Na3Cr3WSe8. Source: Alexandria via LeMat-Bulk, functional PBE.

Summary:
For the total DFT energy (no corrections), the calculation gives -83.43 eV for the cell shown. The value obtained for the density of states at the Fermi level is 4.5 states/eV/f.u.

Cell lengths 7.510, 7.509, 8.183 Å; angles 117.29, 89.99, 120.05 degrees
Site moments in Bohr magnetons follow the coordinates.
Fractional positions:
Na  0.000  0.000  0.000  0.00
Na  0.000  0.500  0.000  0.00
Na  0.500  0.500  0.000  0.00
Cr  0.500  0.000  0.500  3.06
Cr  0.500  0.500  0.500  3.06
Cr  0.000  0.500  0.500  3.07
W  0.000  0.000  0.500  1.47
Se  0.267  0.534  0.301  -0.10
Se  0.733  0.466  0.699  -0.10
Se  0.765  0.530  0.299  -0.07
Se  0.235  0.470  0.701  -0.07
Se  0.765  0.034  0.299  -0.07
Se  0.235  0.966  0.701  -0.07
Se  0.269  0.034  0.299  -0.07
Se  0.731  0.966  0.701  -0.07



(2)
A relaxed structure of Na3TaRh3Se8. Source: Alexandria via LeMat-Bulk, functional PBE.

Summary:
For the total DFT energy (no corrections), the calculation gives -75.52 eV for the cell shown. The value obtained for the density of states at the Fermi level is 4.7 states/eV/f.u.

Cell lengths 7.538, 7.530, 8.122 Å; angles 117.60, 90.00, 120.04 degrees
Fractional positions:
Na  0.000  0.000  0.000
Na  0.000  0.500  0.000
Na  0.500  0.500  0.000
Ta  0.000  0.000  0.500
Rh  0.500  0.000  0.500
Rh  0.500  0.500  0.500
Rh  0.000  0.500  0.500
Se  0.270  0.540  0.310
Se  0.730  0.460  0.690
Se  0.762  0.524  0.300
Se  0.238  0.476  0.700
Se  0.762  0.038  0.300
Se  0.238  0.962  0.700
Se  0.276  0.038  0.300
Se  0.724  0.962  0.700



(3)
A relaxed structure of Zn2SiAg. Source: Alexandria via LeMat-Bulk, functional PBE.

Summary:
For the total DFT energy (no corrections), the calculation gives -19.59 eV for the cell shown. The value obtained for the density of states at the Fermi level is 1.5 states/eV/f.u.

Cell lengths 3.978, 3.978, 9.240 Å; angles 77.57, 77.57, 90.00 degrees
Fractional positions:
Zn  0.614  0.125  0.250
Zn  0.136  0.625  0.250
Zn  0.375  0.386  0.750
Zn  0.875  0.864  0.750
Si  0.500  0.500  0.000
Si  0.250  0.750  0.500
Ag  0.000  0.000  0.000
Ag  0.750  0.250  0.500